A relaxed structure of KAcAuSe, computed with PBE-GGA.

```
data_KAcAuSe
_chemical_formula_sum 'K4 Ac4 Au4 Se4'
_cell_length_a 7.744
_cell_length_b 7.744
_cell_length_c 7.744
_cell_angle_alpha 90.00
_cell_angle_beta 90.00
_cell_angle_gamma 90.00
_space_group_name_H-M_alt 'P 1'
_space_group_IT_number 1
_space_group_name_Hall 'P 1'
loop_
_atom_site_label
_atom_site_type_symbol
_atom_site_fract_x
_atom_site_fract_y
_atom_site_fract_z
_atom_site_occupancy
K1 K 0.000 0.000 0.000 1
K2 K 0.000 0.500 0.500 1
K3 K 0.500 0.000 0.500 1
K4 K 0.500 0.500 0.000 1
Ac1 Ac 0.000 0.000 0.500 1
Ac2 Ac 0.000 0.500 0.000 1
Ac3 Ac 0.500 0.000 0.000 1
Ac4 Ac 0.500 0.500 0.500 1
Au1 Au 0.250 0.250 0.750 1
Au2 Au 0.250 0.750 0.250 1
Au3 Au 0.750 0.250 0.250 1
Au4 Au 0.750 0.750 0.750 1
Se1 Se 0.250 0.250 0.250 1
Se2 Se 0.250 0.750 0.750 1
Se3 Se 0.750 0.250 0.750 1
Se4 Se 0.750 0.750 0.250 1
```

## Properties
- formation energy from raw total energies (eV/atom) = -0.893
- density (g/cm3) = 7.8
- electronic total energy (eV per cell) = -62.160